# 1
# Pr2Sm3Er7 PBE-GGA relaxed
data_Pr2Sm3Er7
_chemical_formula_sum 'Pr4 Sm6 Er14'
_cell_length_a 5.6999
_cell_length_b 38.1194
_cell_length_c 3.6091
_cell_angle_alpha 90.00
_cell_angle_beta 90.00
_cell_angle_gamma 90.00
_space_group_name_H-M_alt 'C m m m'
_space_group_IT_number 65
_space_group_name_Hall '-C 2 2'
loop_
_atom_site_label
_atom_site_type_symbol
_atom_site_fract_x
_atom_site_fract_y
_atom_site_fract_z
Pr1 Pr 0.0000 0.1464 0.0000
Sm1 Sm 0.0000 0.3138 0.5000
Sm2 Sm 0.0000 0.5000 0.5000
Er1 Er 0.0000 0.0000 0.0000
Er2 Er 0.0000 0.0705 0.5000
Er3 Er 0.0000 0.2304 0.0000
Er4 Er 0.0000 0.4113 0.0000
# **Fermi-level density of states**: 1.4365 states/eV per atom
# **ΔH_f (0 K)**: 0.1090 eV per atom
# **E above lowest polymorph**: 0.021 eV per atom
# **Raw total energy**: -4.5290 eV per atom


# 2
# NaMn2Pb3Se6 PBE-GGA relaxed
data_NaMn2Pb3Se6
_chemical_formula_sum 'Na2 Mn4 Pb6 Se12'
_cell_length_a 17.9033
_cell_length_b 4.1383
_cell_length_c 8.3446
_cell_angle_alpha 90.00
_cell_angle_beta 103.10
_cell_angle_gamma 90.00
_space_group_name_H-M_alt 'C 1 2/m 1'
_space_group_IT_number 12
loop_
_space_group_symop_operation_xyz
'x,y,z'
'-x,-y,-z'
'-x,y,-z'
'x,-y,z'
'x+1/2,y+1/2,z'
'-x+1/2,-y+1/2,-z'
'-x+1/2,y+1/2,-z'
'x+1/2,-y+1/2,z'
loop_
_atom_site_label
_atom_site_type_symbol
_atom_site_fract_x
_atom_site_fract_y
_atom_site_fract_z
Na1 Na 0.0000 0.0000 0.0000
Mn1 Mn 0.1681 0.5000 0.3347
Pb1 Pb 0.0000 0.0000 0.5000
Pb2 Pb 0.1617 0.5000 0.8358
Se1 Se 0.0220 0.5000 0.2549
Se2 Se 0.1720 0.0000 0.1191
Se3 Se 0.1783 0.0000 0.5662
# **Fermi-level density of states**: 0.2484 states/eV per atom
# **Raw total energy**: -4.8460 eV per atom
# **Raw formation energy**: -51.95 kJ/mol of atoms


# 3
# GaSn2Pb PBE-GGA relaxed
data_GaSn2Pb
_chemical_formula_sum 'Ga1 Sn2 Pb1'
_cell_length_a 3.4195
_cell_length_b 3.4195
_cell_length_c 9.1303
_cell_angle_alpha 90.00
_cell_angle_beta 90.00
_cell_angle_gamma 90.00
_space_group_name_H-M_alt 'P 4/m m m'
_space_group_IT_number 123
_space_group_name_Hall '-P 4 2'
loop_
_atom_site_label
_atom_site_type_symbol
_atom_site_fract_x
_atom_site_fract_y
_atom_site_fract_z
Ga1 Ga 0.0000 0.0000 0.0000
Sn1 Sn 0.5000 0.5000 0.2219
Pb1 Pb 0.0000 0.0000 0.5000
# **Fermi-level density of states**: 0.3788 states/eV per atom
# **ΔH_f (0 K)**: 0.0341 eV per atom
# **E above lowest polymorph**: 0.000 eV per atom
# **Raw total energy**: -3.6512 eV per atom


# 4
# TmSnH6Ir2 PBE-GGA relaxed
data_TmSnH6Ir2
_chemical_formula_sum 'Tm4 Sn4 H24 Ir8'
_cell_length_a 8.0086
_cell_length_b 13.4741
_cell_length_c 5.3481
_cell_angle_alpha 90.00
_cell_angle_beta 117.18
_cell_angle_gamma 90.00
_space_group_name_H-M_alt 'C 1 2/c 1'
_space_group_IT_number 15
loop_
_space_group_symop_operation_xyz
'x,y,z'
'-x,-y,-z'
'-x,y,-z+1/2'
'x,-y,z+1/2'
'x+1/2,y+1/2,z'
'-x+1/2,-y+1/2,-z'
'-x+1/2,y+1/2,-z+1/2'
'x+1/2,-y+1/2,z+1/2'
loop_
_atom_site_label
_atom_site_type_symbol
_atom_site_fract_x
_atom_site_fract_y
_atom_site_fract_z
Tm1 Tm 0.0000 0.0789 0.2500
Sn1 Sn 0.0000 0.2994 0.7500
H1 H 0.1192 0.4327 0.1161
H2 H 0.2154 0.1788 0.5835
H3 H 0.2228 0.0497 0.1193
Ir1 Ir 0.1940 0.1244 0.8518
# **Fermi-level density of states**: 0.1631 states/eV per atom
# **Raw total energy**: -4.8870 eV per atom


# 5
# LiPSe3 PBE-GGA relaxed
data_LiPSe3
_chemical_formula_sum 'Li8 P8 Se24'
_cell_length_a 12.9908
_cell_length_b 12.2256
_cell_length_c 6.6948
_cell_angle_alpha 90.00
_cell_angle_beta 110.20
_cell_angle_gamma 90.00
_space_group_name_H-M_alt 'C 1 2/c 1'
_space_group_IT_number 15
loop_
_space_group_symop_operation_xyz
'x,y,z'
'-x,-y,-z'
'-x,y,-z+1/2'
'x,-y,z+1/2'
'x+1/2,y+1/2,z'
'-x+1/2,-y+1/2,-z'
'-x+1/2,y+1/2,-z+1/2'
'x+1/2,-y+1/2,z+1/2'
loop_
_atom_site_label
_atom_site_type_symbol
_atom_site_fract_x
_atom_site_fract_y
_atom_site_fract_z
Li1 Li 0.0000 0.1279 0.2500
Li2 Li 0.0000 0.2535 0.7500
P1 P 0.2160 0.4143 0.2400
Se1 Se 0.1048 0.0733 0.6594
Se2 Se 0.1364 0.4464 0.4980
Se3 Se 0.1437 0.2553 0.1310
# **E above lowest polymorph**: 0.000 eV per atom
# **Raw total energy**: -3.9151 eV per atom
# **Raw formation energy**: -34.70 kJ/mol of atoms


# 6
# SrAl2AsOs PBE-GGA relaxed
data_SrAl2AsOs
_chemical_formula_sum 'Sr1 Al2 As1 Os1'
_cell_length_a 5.5570
_cell_length_b 5.5570
_cell_length_c 4.9943
_cell_angle_alpha 90.00
_cell_angle_beta 90.00
_cell_angle_gamma 90.00
_space_group_name_H-M_alt 'P 4/m m m'
_space_group_IT_number 123
_space_group_name_Hall '-P 4 2'
loop_
_atom_site_label
_atom_site_type_symbol
_atom_site_fract_x
_atom_site_fract_y
_atom_site_fract_z
Sr1 Sr 0.0000 0.0000 0.0000
Al1 Al 0.0000 0.5000 0.0000
As1 As 0.5000 0.5000 0.5000
Os1 Os 0.0000 0.0000 0.5000
# **Fermi-level density of states**: 1.0981 states/eV per atom
# **ΔH_f (0 K)**: 2.2216 eV per atom
# **Raw total energy**: -2.7876 eV per atom


# 7
# Pm2Pr3Er4 PBE-GGA relaxed
data_Pm2Pr3Er4
_chemical_formula_sum 'Pm8 Pr12 Er16'
_cell_length_a 16.4682
_cell_length_b 11.8185
_cell_length_c 6.1793
_cell_angle_alpha 90.00
_cell_angle_beta 97.54
_cell_angle_gamma 90.00
_space_group_name_H-M_alt 'C 1 2/c 1'
_space_group_IT_number 15
loop_
_space_group_symop_operation_xyz
'x,y,z'
'-x,-y,-z'
'-x,y,-z+1/2'
'x,-y,z+1/2'
'x+1/2,y+1/2,z'
'-x+1/2,-y+1/2,-z'
'-x+1/2,y+1/2,-z+1/2'
'x+1/2,-y+1/2,z+1/2'
loop_
_atom_site_label
_atom_site_type_symbol
_atom_site_fract_x
_atom_site_fract_y
_atom_site_fract_z
Pm1 Pm 0.1123 0.1290 0.2883
Pr1 Pr 0.0000 0.1303 0.7500
Pr2 Pr 0.1625 0.3571 0.5912
Er1 Er 0.0574 0.3844 0.0393
Er2 Er 0.2306 0.1168 0.8623
# **Fermi-level density of states**: 1.5077 states/eV per atom
# **ΔH_f (0 K)**: 0.0955 eV per atom
# **E above lowest polymorph**: 0.076 eV per atom
# **Raw total energy**: -4.5813 eV per atom


# 8
# Nd2ErSnC PBE-GGA relaxed
data_Nd2ErSnC
_chemical_formula_sum 'Nd2 Er1 Sn1 C1'
_cell_length_a 5.1122
_cell_length_b 5.1122
_cell_length_c 4.8568
_cell_angle_alpha 90.00
_cell_angle_beta 90.00
_cell_angle_gamma 90.00
_space_group_name_H-M_alt 'P 4/m m m'
_space_group_IT_number 123
_space_group_name_Hall '-P 4 2'
loop_
_atom_site_label
_atom_site_type_symbol
_atom_site_fract_x
_atom_site_fract_y
_atom_site_fract_z
Nd1 Nd 0.0000 0.5000 0.0000
Er1 Er 0.0000 0.0000 0.5000
Sn1 Sn 0.5000 0.5000 0.5000
C1 C 0.0000 0.0000 0.0000
# **Fermi-level density of states**: 0.4299 states/eV per atom
# **ΔH_f (0 K)**: -0.5184 eV per atom
# **Raw total energy**: -5.9835 eV per atom


# 9
# LiLaCu4 PBE-GGA relaxed
data_LiLaCu4
_chemical_formula_sum 'Li4 La4 Cu16'
_cell_length_a 7.3175
_cell_length_b 7.3175
_cell_length_c 7.3175
_cell_angle_alpha 90.00
_cell_angle_beta 90.00
_cell_angle_gamma 90.00
_space_group_name_H-M_alt 'F -4 3 m'
_space_group_IT_number 216
_space_group_name_Hall 'F -4 2 3'
loop_
_atom_site_label
_atom_site_type_symbol
_atom_site_fract_x
_atom_site_fract_y
_atom_site_fract_z
Li1 Li 0.0000 0.0000 0.0000
La1 La 0.2500 0.2500 0.2500
Cu1 Cu 0.1276 0.1276 0.6276
# **Fermi-level density of states**: 0.7985 states/eV per atom
# **ΔH_f (0 K)**: -0.1443 eV per atom
# **Raw total energy**: -4.0153 eV per atom


# 10
# Tl2ZnHPb PBE-GGA relaxed
data_Tl2ZnHPb
_chemical_formula_sum 'Tl2 Zn1 H1 Pb1'
_cell_length_a 6.0770
_cell_length_b 6.0770
_cell_length_c 3.9132
_cell_angle_alpha 90.00
_cell_angle_beta 90.00
_cell_angle_gamma 90.00
_space_group_name_H-M_alt 'P 4/m m m'
_space_group_IT_number 123
_space_group_name_Hall '-P 4 2'
loop_
_atom_site_label
_atom_site_type_symbol
_atom_site_fract_x
_atom_site_fract_y
_atom_site_fract_z
Tl1 Tl 0.0000 0.5000 0.0000
Zn1 Zn 0.0000 0.0000 0.5000
H1 H 0.5000 0.5000 0.5000
Pb1 Pb 0.5000 0.5000 0.0000
# **Fermi-level density of states**: 0.4586 states/eV per atom
# **Raw total energy**: -2.1797 eV per atom


# 11
# K4Nd3TlO8 PBE-GGA relaxed
data_K4Nd3TlO8
_chemical_formula_sum 'K12 Nd9 Tl3 O24'
_cell_length_a 7.2119
_cell_length_b 7.2119
_cell_length_c 18.9622
_cell_angle_alpha 90.00
_cell_angle_beta 90.00
_cell_angle_gamma 120.00
_space_group_name_H-M_alt 'R -3 m'
_space_group_IT_number 166
_space_group_name_Hall '-R 3 2"'
loop_
_atom_site_label
_atom_site_type_symbol
_atom_site_fract_x
_atom_site_fract_y
_atom_site_fract_z
K1 K 0.0000 0.0000 0.0000
K2 K 0.0000 0.5000 0.0000
Nd1 Nd 0.0000 0.5000 0.5000
Tl1 Tl 0.0000 0.0000 0.5000
O1 O 0.0000 0.0000 0.2298
O2 O 0.0009 0.5004 0.7676
# **Raw total energy**: -5.9872 eV per atom
# **Raw formation energy**: -211.48 kJ/mol of atoms